## Li3Cr2P3O12 (PBE with a Hubbard U)

Data for a geometry-optimized Li3Cr2P3O12 structure.

## Properties
Total magnetic moment, μB per formula unit: 5.99
Energy above the lowest structure with this stoichiometry, meV per atom: 78
V, Å³ per atom: 13.1
VASP energy, eV/atom: -6.998

abc: 9.040 9.253 14.859
angles: 82.97 73.88 61.38
Space group P1 (No. 1)
Asymmetric unit:
Li (0.000, 0.000, 0.000) (multiplicity 1)
Li (0.007, 0.689, 0.302) (multiplicity 1)
Li (0.185, 0.502, 0.052) (multiplicity 1)
Li (0.210, 0.760, 0.426) (multiplicity 1)
Li (0.325, 0.009, 0.554) (multiplicity 1)
Li (0.364, 0.426, 0.666) (multiplicity 1)
Li (0.390, 0.942, 0.876) (multiplicity 1)
Li (0.647, 0.253, 0.914) (multiplicity 1)
Li (0.661, 0.761, 0.133) (multiplicity 1)
Li (0.708, 0.185, 0.252) (multiplicity 1)
Li (0.828, 0.427, 0.386) (multiplicity 1)
Li (0.855, 0.684, 0.740) (multiplicity 1)
Cr (0.182, 0.134, 0.070) (multiplicity 1)
Cr (0.255, 0.151, 0.379) (multiplicity 1)
Cr (0.261, 0.643, 0.873) (multiplicity 1)
Cr (0.389, 0.571, 0.232) (multiplicity 1)
Cr (0.655, 0.616, 0.568) (multiplicity 1)
Cr (0.778, 0.546, 0.924) (multiplicity 1)
Cr (0.783, 0.041, 0.424) (multiplicity 1)
Cr (0.858, 0.060, 0.731) (multiplicity 1)
P (0.125, 0.962, 0.274) (multiplicity 1)
P (0.198, 0.331, 0.874) (multiplicity 1)
P (0.221, 0.330, 0.223) (multiplicity 1)
P (0.272, 0.813, 0.715) (multiplicity 1)
P (0.372, 0.742, 0.026) (multiplicity 1)
P (0.411, 0.373, 0.433) (multiplicity 1)
P (0.625, 0.816, 0.366) (multiplicity 1)
P (0.667, 0.448, 0.774) (multiplicity 1)
P (0.765, 0.372, 0.081) (multiplicity 1)
P (0.810, 0.864, 0.580) (multiplicity 1)
P (0.833, 0.860, 0.926) (multiplicity 1)
P (0.914, 0.230, 0.527) (multiplicity 1)
O (0.011, 0.363, 0.881) (multiplicity 1)
O (0.019, 0.831, 0.926) (multiplicity 1)
O (0.069, 0.340, 0.308) (multiplicity 1)
O (0.109, 0.972, 0.704) (multiplicity 1)
O (0.115, 0.131, 0.508) (multiplicity 1)
O (0.169, 0.776, 0.276) (multiplicity 1)
O (0.186, 0.475, 0.927) (multiplicity 1)
O (0.192, 0.314, 0.126) (multiplicity 1)
O (0.200, 0.974, 0.353) (multiplicity 1)
O (0.212, 0.019, 0.184) (multiplicity 1)
O (0.223, 0.501, 0.213) (multiplicity 1)
O (0.226, 0.924, 0.020) (multiplicity 1)
O (0.239, 0.659, 0.737) (multiplicity 1)
O (0.268, 0.325, 0.436) (multiplicity 1)
O (0.276, 0.171, 0.937) (multiplicity 1)
O (0.296, 0.635, 0.005) (multiplicity 1)
O (0.313, 0.300, 0.776) (multiplicity 1)
O (0.330, 0.821, 0.804) (multiplicity 1)
O (0.381, 0.528, 0.365) (multiplicity 1)
O (0.385, 0.188, 0.247) (multiplicity 1)
O (0.406, 0.424, 0.527) (multiplicity 1)
O (0.410, 0.798, 0.621) (multiplicity 1)
O (0.424, 0.694, 0.119) (multiplicity 1)
O (0.453, 0.962, 0.419) (multiplicity 1)
O (0.503, 0.462, 0.849) (multiplicity 1)
O (0.531, 0.735, 0.950) (multiplicity 1)
O (0.589, 0.230, 0.381) (multiplicity 1)
O (0.618, 0.496, 0.680) (multiplicity 1)
O (0.630, 0.768, 0.270) (multiplicity 1)
O (0.632, 0.383, 0.177) (multiplicity 1)
O (0.649, 0.010, 0.553) (multiplicity 1)
O (0.657, 0.663, 0.433) (multiplicity 1)
O (0.699, 0.370, 0.995) (multiplicity 1)
O (0.721, 0.888, 0.026) (multiplicity 1)
O (0.739, 0.558, 0.796) (multiplicity 1)
O (0.758, 0.019, 0.865) (multiplicity 1)
O (0.776, 0.859, 0.358) (multiplicity 1)
O (0.790, 0.704, 0.600) (multiplicity 1)
O (0.802, 0.522, 0.063) (multiplicity 1)
O (0.804, 0.268, 0.784) (multiplicity 1)
O (0.827, 0.175, 0.617) (multiplicity 1)
O (0.843, 0.210, 0.448) (multiplicity 1)
O (0.845, 0.883, 0.674) (multiplicity 1)
O (0.853, 0.715, 0.872) (multiplicity 1)
O (0.868, 0.415, 0.520) (multiplicity 1)
O (0.925, 0.057, 0.292) (multiplicity 1)
O (0.932, 0.203, 0.083) (multiplicity 1)
O (0.961, 0.849, 0.491) (multiplicity 1)